Entry 1:
# Nd2AlNi3Pt12

A relaxed structure of Nd2AlNi3Pt12 (PBE, Alexandria via LeMat-Bulk).

## Properties
- Space-group type: R-3m, No. 166
- Total magnetic moment: 3.5 Bohr magnetons per cell
- DOS(E_F): 15.9 states/eV/f.u.
- Formation enthalpy at 0 K: -0.119 eV per atom

Cell lengths 7.9394, 7.9394, 7.9394 Å; angles 60.44, 60.44, 60.44 degrees
Last column: nearest neighbours and their distance in Å.
Atoms (fractional coordinates):
Nd1 0.6206 0.6206 0.6206  6 Pt 2.81-2.86
Nd2 0.3794 0.3794 0.3794  6 Pt 2.81-2.86
Al1 0.0000 0.0000 0.0000  6 Pt 2.44
Ni1 0.5000 0.0000 0.0000  6 Pt 2.42-2.43
Ni2 0.0000 0.5000 0.0000  6 Pt 2.42-2.43
Ni3 0.0000 0.0000 0.5000  6 Pt 2.42-2.43
Pt1 0.3709 0.3709 0.8785  2 Ni 2.42
Pt2 0.8745 0.8745 0.3745  1 Ni 2.43, 1 Al 2.44
Pt3 0.3745 0.8745 0.8745  1 Ni 2.43, 1 Al 2.44
Pt4 0.8785 0.3709 0.3709  2 Ni 2.42
Pt5 0.8745 0.3745 0.8745  1 Ni 2.43, 1 Al 2.44
Pt6 0.3709 0.8785 0.3709  2 Ni 2.42
Pt7 0.6291 0.6291 0.1215  2 Ni 2.42
Pt8 0.1255 0.1255 0.6255  1 Ni 2.43, 1 Al 2.44
Pt9 0.6255 0.1255 0.1255  1 Ni 2.43, 1 Al 2.44
Pt10 0.1215 0.6291 0.6291  2 Ni 2.42
Pt11 0.1255 0.6255 0.1255  1 Ni 2.43, 1 Al 2.44
Pt12 0.6291 0.1215 0.6291  2 Ni 2.42


Entry 2:
# Li5B2Rh4

A relaxed structure of Li5B2Rh4 (PBE, Alexandria via LeMat-Bulk).

## Properties
- Space-group type: P2/m, No. 10
- Total magnetic moment: 0.0 Bohr magnetons per cell
- DOS(E_F): 5.1 states/eV/f.u.
- Formation enthalpy at 0 K: -0.273 eV per atom

Cell lengths 2.8515, 6.3131, 7.7276 Å; angles 96.90, 90.00, 90.00 degrees
Last column: nearest neighbours and their distance in Å.
Atoms (fractional coordinates):
Li1 0.0000 0.4604 0.6667  1 B 2.47, 3 Li 2.56-2.72, 4 Rh 2.63-2.71
Li2 0.0000 0.8467 0.8652  1 B 2.45, 3 Li 2.53-2.72, 2 Rh 2.54
Li3 0.0000 0.5000 0.0000  4 Li 2.53-2.56, 4 Rh 2.76
Li4 0.0000 0.1533 0.1348  1 B 2.45, 3 Li 2.53-2.72, 2 Rh 2.54
Li5 0.0000 0.5396 0.3333  1 B 2.47, 3 Li 2.56-2.72, 4 Rh 2.63-2.71
B1 0.0000 0.9337 0.3748  1 B 2.01, 6 Rh 2.12-2.23
B2 0.0000 0.0663 0.6252  1 B 2.01, 6 Rh 2.12-2.23
Rh1 0.5000 0.2019 0.4472  4 B 2.22-2.23
Rh2 0.5000 0.8306 0.1800  2 B 2.12
Rh3 0.5000 0.7981 0.5528  4 B 2.22-2.23
Rh4 0.5000 0.1694 0.8200  2 B 2.12


Question: Look up the total magnetic moment of the second one.
Answer: 0.0 Bohr magnetons per cell


Question: Among the records above, which one has the lowest formation enthalpy at 0 K?
Answer: Li5B2Rh4


Question: What is the total magnetic moment in the first record?
Answer: 3.5 Bohr magnetons per cell